Entry 1:
First-principles (PBE) data for a geometry-optimized Ca2BiRhF structure, as listed in the Alexandria database.

The formation energy without anion corrections comes out at -1074 meV/atom.

Cell lengths 4.7610, 4.7610, 4.7121 Å; angles 90.00, 90.00, 90.00 degrees
Sites, in units of the cell vectors:
1 Ca 0.0000 0.5000 0.0000
2 Ca 0.5000 0.0000 0.0000
3 Bi 0.0000 0.0000 0.5000
4 Rh 0.5000 0.5000 0.5000
5 F 0.5000 0.5000 0.0000



Entry 2:
First-principles (PBE) data for a geometry-optimized ErTm8Al2 structure, as listed in the Alexandria database.

The formation energy from the elements comes out at 0.172 eV per formula unit. The calculation puts the energy above the most stable polymorph in this dataset at 127 meV/atom.

Cell lengths 8.4390, 8.4390, 5.4557 Å; angles 101.50, 101.50, 117.97 degrees
Sites, in units of the cell vectors:
1 Er 0.0000 0.0000 0.0000
2 Tm 0.0889 0.3259 0.6126
3 Tm 0.2224 0.7776 0.0000
4 Tm 0.3259 0.0889 0.6126
5 Tm 0.4019 0.4019 0.2030
6 Tm 0.5981 0.5981 0.7970
7 Tm 0.6741 0.9111 0.3874
8 Tm 0.7776 0.2224 0.0000
9 Tm 0.9111 0.6741 0.3874
10 Al 0.3080 0.6920 0.5000
11 Al 0.6920 0.3080 0.5000



Entry 3:
First-principles (PBE) data for a geometry-optimized RuPt2Cl structure, as listed in the Alexandria database.

The formation energy without anion corrections comes out at 356 meV/atom. The calculation puts the energy above the most stable polymorph in this dataset at 119 meV/atom.

Cell lengths 2.8722, 2.8722, 7.8423 Å; angles 90.00, 90.00, 90.00 degrees
Sites, in units of the cell vectors:
1 Ru 0.0000 0.0000 0.0000
2 Pt 0.5000 0.5000 0.2267
3 Pt 0.5000 0.5000 0.7733
4 Cl 0.0000 0.0000 0.5000